Material: Sr2PN4
Method: DFT, PBE
State: optimized geometry

The formation energy without anion corrections comes out at -0.4 eV/f.u. The value obtained for the volume is 91.3 Å³/f.u.

It has space group I4/mmm (No. 139), with a = 3.8311 Å, b = 3.8311 Å, c = 12.4352 Å, α = 90.00°, β = 90.00° and γ = 90.00°. Symmetry generates all atoms from Sr at (0.0000, 0.0000, 0.1455), P at (0.0000, 0.0000, 0.5000), N at (0.0000, 0.0000, 0.3625) and N at (0.0000, 0.5000, 0.0000).

Material: SrP2N3
Method: DFT, PBE
State: optimized geometry

The formation energy without anion corrections comes out at -4.0 eV/f.u. The value obtained for the volume is 100.8 Å³/f.u.

It has space group P-1 (No. 2), with a = 5.3064 Å, b = 6.1383 Å, c = 6.6735 Å, α = 101.53°, β = 99.11° and γ = 104.05°. Symmetry generates all atoms from Sr at (0.2430, 0.3635, 0.1572), P at (0.0729, 0.1403, 0.6547), P at (0.4412, 0.9485, 0.2898), N at (0.0256, 0.1523, 0.4050), N at (0.1202, 0.7538, 0.2092) and N at (0.3826, 0.2475, 0.7850).

Material: SrP3N
Method: DFT, PBE
State: optimized geometry

The formation energy without anion corrections comes out at 11.7 eV/f.u. The value obtained for the volume is 181.1 Å³/f.u. The value obtained for the excess energy over the best structure of this formula in the dataset is 1.869 eV/atom.

It has space group Pm-3m (No. 221), with a = 5.6572 Å, b = 5.6572 Å, c = 5.6572 Å, α = 90.00°, β = 90.00° and γ = 90.00°. Symmetry generates all atoms from Sr at (0.0000, 0.0000, 0.0000), P at (0.0000, 0.0000, 0.5000) and N at (0.5000, 0.5000, 0.5000).

Material: Sr3PN3
Method: DFT, PBE
State: optimized geometry

The formation energy without anion corrections comes out at -4.6 eV/f.u. The value obtained for the volume is 124.5 Å³/f.u.

It has space group P2_1/m (No. 11), with a = 6.9084 Å, b = 5.3152 Å, c = 6.9345 Å, α = 90.00°, β = 102.09° and γ = 90.00°. Symmetry generates all atoms from Sr at (0.0857, 0.2500, 0.3163), Sr at (0.3194, 0.7500, 0.0837), Sr at (0.3910, 0.7500, 0.6026), P at (0.2034, 0.2500, 0.7944), N at (0.0416, 0.7500, 0.3041), N at (0.3023, 0.2500, 0.0385) and N at (0.3636, 0.2500, 0.6352).

Material: Sr7PN2
Method: DFT, PBE
State: optimized geometry

The formation energy without anion corrections comes out at -4.1 eV/f.u. The value obtained for the volume is 398.2 Å³/f.u.

It has space group Cmmm (No. 65), with a = 11.1251 Å, b = 17.7420 Å, c = 4.0349 Å, α = 90.00°, β = 90.00° and γ = 90.00°. Symmetry generates all atoms from Sr at (0.0000, 0.0000, 0.0000), Sr at (0.0000, 0.2245, 0.5000), Sr at (0.1486, 0.3958, 0.0000), P at (0.0000, 0.5000, 0.5000) and N at (0.0000, 0.3007, 0.0000).

Material: Sr4P2N
Method: DFT, PBE
State: optimized geometry

The formation energy without anion corrections comes out at -5.8 eV/f.u. The value obtained for the volume is 192.4 Å³/f.u. The value obtained for the excess energy over the best structure of this formula in the dataset is 0.000 eV/atom.

It has space group I4/mmm (No. 139), with a = 4.9167 Å, b = 4.9167 Å, c = 15.9199 Å, α = 90.00°, β = 90.00° and γ = 90.00°. Symmetry generates all atoms from Sr at (0.0000, 0.0000, 0.1731), Sr at (0.0000, 0.5000, 0.0000), P at (0.0000, 0.0000, 0.3649) and N at (0.0000, 0.0000, 0.0000).

Material: Sr7P2N2
Method: DFT, PBE
State: optimized geometry

The formation energy without anion corrections comes out at -5.3 eV/f.u. The value obtained for the volume is 318.8 Å³/f.u.

It has space group Cmmm (No. 65), with a = 9.1836 Å, b = 9.8925 Å, c = 7.0188 Å, α = 90.00°, β = 90.00° and γ = 90.00°. Symmetry generates all atoms from Sr at (0.0000, 0.0000, 0.0000), Sr at (0.0000, 0.5000, 0.2190), Sr at (0.2500, 0.2500, 0.2351), P at (0.2490, 0.0000, 0.5000) and N at (0.0000, 0.2725, 0.0000).

Material: Sr6PN2
Method: DFT, PBE
State: optimized geometry

The formation energy without anion corrections comes out at -5.1 eV/f.u. The value obtained for the volume is 299.6 Å³/f.u. The value obtained for the excess energy over the best structure of this formula in the dataset is 0.000 eV/atom.

It has space group R-3 (No. 148, hexagonal axes), with a = 6.9115 Å, b = 6.9115 Å, c = 21.7244 Å, α = 90.00°, β = 90.00° and γ = 120.00°. Symmetry generates all atoms from Sr at (0.0113, 0.6379, 0.0684), P at (0.0000, 0.0000, 0.5000) and N at (0.0000, 0.0000, 0.3250).

Material: Sr4P2N
Method: DFT, PBE
State: optimized geometry

The formation energy without anion corrections comes out at -5.0 eV/f.u. The value obtained for the volume is 206.8 Å³/f.u. The value obtained for the excess energy over the best structure of this formula in the dataset is 0.116 eV/atom.

It has space group P2_1/m (No. 11), with a = 7.0683 Å, b = 7.0218 Å, c = 8.7828 Å, α = 90.00°, β = 108.38° and γ = 90.00°. Symmetry generates all atoms from Sr at (0.0241, 0.0079, 0.2499), Sr at (0.4461, 0.2500, 0.5926), Sr at (0.4565, 0.2500, 0.1351), P at (0.2030, 0.7500, 0.5525), P at (0.2541, 0.7500, 0.0607) and N at (0.2683, 0.2500, 0.3154).

Material: Sr3PN
Method: DFT, PBE
State: optimized geometry

The formation energy without anion corrections comes out at -3.9 eV/f.u. The value obtained for the volume is 131.2 Å³/f.u. The value obtained for the excess energy over the best structure of this formula in the dataset is 0.000 eV/atom.

It has space group Pm-3m (No. 221), with a = 5.0812 Å, b = 5.0812 Å, c = 5.0812 Å, α = 90.00°, β = 90.00° and γ = 90.00°. Symmetry generates all atoms from Sr at (0.0000, 0.0000, 0.5000), P at (0.5000, 0.5000, 0.5000) and N at (0.0000, 0.0000, 0.0000).

Material: Sr8P2N3
Method: DFT, PBE
State: optimized geometry

The formation energy without anion corrections comes out at -9.2 eV/f.u. The value obtained for the volume is 376.1 Å³/f.u.

It has space group C2/m (No. 12), with a = 14.9192 Å, b = 7.8510 Å, c = 6.7889 Å, α = 90.00°, β = 108.93° and γ = 90.00°. Symmetry generates all atoms from Sr at (0.0967, 0.0000, 0.4048), Sr at (0.1048, 0.5000, 0.4400), Sr at (0.1068, 0.2286, 0.8982), P at (0.2370, 0.5000, 0.1775), N at (0.0000, 0.0000, 0.0000) and N at (0.0000, 0.2562, 0.5000).

Material: Sr12P5N2
Method: DFT, PBE
State: optimized geometry

The formation energy without anion corrections comes out at -15.8 eV/f.u. The value obtained for the volume is 604.6 Å³/f.u.

It has space group C2/m (No. 12), with a = 16.8093 Å, b = 7.8061 Å, c = 9.6134 Å, α = 90.00°, β = 106.54° and γ = 90.00°. Symmetry generates all atoms from Sr at (0.0006, 0.0000, 0.1887), Sr at (0.0046, 0.5000, 0.8202), Sr at (0.1495, 0.2489, 0.5714), Sr at (0.1645, 0.2396, 0.0857), P at (0.0000, 0.5000, 0.5000), P at (0.1865, 0.0000, 0.8392), P at (0.1932, 0.0000, 0.3498) and N at (0.0000, 0.2539, 0.0000).

Material: SrP2N
Method: DFT, PBE
State: optimized geometry

The formation energy without anion corrections comes out at 0.4 eV/f.u. The value obtained for the volume is 74.6 Å³/f.u. The value obtained for the excess energy over the best structure of this formula in the dataset is 0.000 eV/atom.

It has space group I-42d (No. 122), with a = 6.4109 Å, b = 6.4109 Å, c = 7.2561 Å, α = 90.00°, β = 90.00° and γ = 90.00°. Symmetry generates all atoms from Sr at (0.0000, 0.0000, 0.0000), P at (0.1041, 0.2500, 0.6250) and N at (0.0000, 0.0000, 0.5000).

Material: Sr4PN
Method: DFT, PBE
State: optimized geometry

The formation energy without anion corrections comes out at -2.6 eV/f.u. The value obtained for the volume is 164.3 Å³/f.u.

It has space group P4/mmm (No. 123), with a = 4.8450 Å, b = 4.8450 Å, c = 6.9977 Å, α = 90.00°, β = 90.00° and γ = 90.00°. Symmetry generates all atoms from Sr at (0.0000, 0.5000, 0.2262), P at (0.0000, 0.0000, 0.5000) and N at (0.5000, 0.5000, 0.0000).

Material: SrP3N
Method: DFT, PBE
State: optimized geometry

The formation energy without anion corrections comes out at 2.3 eV/f.u. The value obtained for the volume is 83.1 Å³/f.u. The value obtained for the excess energy over the best structure of this formula in the dataset is 0.000 eV/atom.

It has space group Pm-3m (No. 221), with a = 4.3634 Å, b = 4.3634 Å, c = 4.3634 Å, α = 90.00°, β = 90.00° and γ = 90.00°. Symmetry generates all atoms from Sr at (0.0000, 0.0000, 0.0000), P at (0.0000, 0.5000, 0.5000) and N at (0.5000, 0.5000, 0.5000).

Material: Sr6PN2
Method: DFT, PBE
State: optimized geometry

The formation energy without anion corrections comes out at -5.0 eV/f.u. The value obtained for the volume is 311.2 Å³/f.u. The value obtained for the excess energy over the best structure of this formula in the dataset is 0.018 eV/atom.

It has space group C2/m (No. 12), with a = 14.0152 Å, b = 4.8755 Å, c = 9.6212 Å, α = 90.00°, β = 108.77° and γ = 90.00°. Symmetry generates all atoms from Sr at (0.0689, 0.0000, 0.2280), Sr at (0.1397, 0.5000, 0.6228), Sr at (0.1878, 0.5000, 0.0534), P at (0.0000, 0.0000, 0.5000) and N at (0.2208, 0.0000, 0.1469).

Material: SrTb2P2N6
Method: DFT, PBE
State: optimized geometry

The formation energy without anion corrections comes out at -11.9 eV/f.u. The value obtained for the volume is 161.0 Å³/f.u.

It has space group P-1 (No. 2), with a = 5.4166 Å, b = 5.9933 Å, c = 6.1111 Å, α = 118.76°, β = 100.75° and γ = 101.48°. Symmetry generates all atoms from Sr at (0.0000, 0.0000, 0.0000), Tb at (0.2248, 0.7342, 0.4370), P at (0.3627, 0.4589, 0.7961), N at (0.2164, 0.6529, 0.7626), N at (0.2995, 0.1727, 0.5175) and N at (0.3012, 0.4163, 0.0432).

Material: Sr3TbP2N6
Method: DFT, PBE
State: optimized geometry

The formation energy without anion corrections comes out at -11.5 eV/f.u. The value obtained for the volume is 205.6 Å³/f.u.

It has space group P-3m1 (No. 164), with a = 5.8620 Å, b = 5.8620 Å, c = 6.9095 Å, α = 90.00°, β = 90.00° and γ = 120.00°. Symmetry generates all atoms from Sr at (0.0000, 0.0000, 0.0000), Sr at (0.3333, 0.6667, 0.7053), Tb at (0.0000, 0.0000, 0.5000), P at (0.3333, 0.6667, 0.2491) and N at (0.1778, 0.3557, 0.2810).

Material: Sr2TbP2N6
Method: DFT, PBE
State: optimized geometry

The formation energy without anion corrections comes out at -9.3 eV/f.u. The value obtained for the volume is 174.0 Å³/f.u.

It has space group R-3m (No. 166, hexagonal axes), with a = 5.7424 Å, b = 5.7424 Å, c = 18.2739 Å, α = 90.00°, β = 90.00° and γ = 120.00°. Symmetry generates all atoms from Sr at (0.0000, 0.0000, 0.2046), Tb at (0.0000, 0.0000, 0.0000), P at (0.0000, 0.0000, 0.4186) and N at (0.0166, 0.5083, 0.2465).

Material: SrTc2PN
Method: DFT, PBE
State: optimized geometry

The formation energy without anion corrections comes out at -3.1 eV/f.u. The value obtained for the volume is 78.5 Å³/f.u.

It has space group Cmcm (No. 63), with a = 3.8624 Å, b = 11.0996 Å, c = 7.3284 Å, α = 90.00°, β = 90.00° and γ = 90.00°. Symmetry generates all atoms from Sr at (0.0000, 0.0426, 0.2500), Tc at (0.0000, 0.3305, 0.0577), P at (0.0000, 0.2326, 0.7500) and N at (0.0000, 0.5000, 0.0000).